Here is a relaxed structure of Mn5Ru3 from Alexandria. Energies are from PBE-GGA.

Lattice parameters (Å, degrees): 6.2053 4.6387 8.0183 90.00 112.69 90.00
With the nearest neighbours (Å) after each atom.
Space group P2_1/m (No. 11)
Unique sites:
Mn1 0.0196 0.2500 0.2582  2 Ru 2.40-2.45, 3 Mn 2.54-2.66
Mn2 0.1749 0.7500 0.4991  3 Ru 2.58-2.73, 2 Mn 2.65-2.66
Mn3 0.2621 0.2500 0.7420  2 Ru 2.40-2.44, 3 Mn 2.54-2.65
Mn4 0.3529 0.9999 0.2065  4 Mn 2.32-2.54, 4 Ru 2.51-2.53
Ru1 0.0347 0.2500 0.9255  5 Mn 2.40-2.62
Ru2 0.3910 0.7500 0.9255  5 Mn 2.40-2.62
Ru3 0.4087 0.2500 0.5001  7 Mn 2.44-2.58, 2 Ru 2.58

Electronic total energy   -9.021 eV per atom
Crystal system   monoclinic
Formation energy from the elements   0.189 eV per atom
Total magnetic moment   5.95 μB per formula unit
Energy above the lowest structure with this stoichiometry   139.3 meV per atom